CuBr: relaxed, PBE.

The space group is Pmn2_1 (31). Its formation energy from raw total energies is -4.57 kcal/mol of atoms.

abc: 10.9966 4.0019 6.3057
angles: 90.00 90.00 90.00
Sites, in units of the cell vectors:
Cu: 0.0000 0.0731 0.0000
Cu: 0.2057 0.3242 0.1307
Cu: 0.2943 0.6758 0.6307
Cu: 0.5000 0.9269 0.5000
Cu: 0.7057 0.6758 0.6307
Cu: 0.7943 0.3242 0.1307
Br: 0.0000 0.5826 0.2272
Br: 0.1757 0.1684 0.7391
Br: 0.3243 0.8316 0.2391
Br: 0.5000 0.4174 0.7272
Br: 0.6757 0.8316 0.2391
Br: 0.8243 0.1684 0.7391